[1]
A plane-wave DFT calculation with PBE-GGA was carried out for a geometry-optimized Tb3PaIn3Se8 structure.

* space group: No. 166
* total magnetization: 1.06 μB per cell
* calculated volume: 466.59 Å³/cell
* total energy: -79.1 eV per cell

a = 9.143 Å, b = 9.143 Å, c = 9.143 Å
α = 54.15°, β = 54.15°, γ = 54.15°
Fractional coordinates of all 15 atoms:
Tb1 0.000 0.500 0.500
Tb2 0.500 0.000 0.500
Tb3 0.500 0.500 0.000
Pa1 0.000 0.000 0.000
In1 0.000 0.000 0.500
In2 0.000 0.500 0.000
In3 0.500 0.000 0.000
Se1 0.234 0.234 0.739
Se2 0.234 0.739 0.234
Se3 0.261 0.766 0.766
Se4 0.264 0.264 0.264
Se5 0.736 0.736 0.736
Se6 0.739 0.234 0.234
Se7 0.766 0.261 0.766
Se8 0.766 0.766 0.261


[2]
A plane-wave DFT calculation with PBE-GGA was carried out for a geometry-optimized PaTl3In2Se6 structure.

* space group: No. 12
* total magnetization: 0.00 μB per cell
* calculated volume: 358.12 Å³/cell
* total energy: -51.4 eV per cell

a = 7.353 Å, b = 7.353 Å, c = 8.009 Å
α = 98.62°, β = 98.62°, γ = 119.93°
Fractional coordinates of all 12 atoms:
Pa1 0.000 0.000 0.000
Tl1 0.169 0.831 0.500
Tl2 0.500 0.500 0.500
Tl3 0.831 0.169 0.500
In1 0.334 0.666 0.000
In2 0.666 0.334 0.000
Se1 0.068 0.385 0.203
Se2 0.246 0.246 0.791
Se3 0.385 0.068 0.203
Se4 0.615 0.932 0.797
Se5 0.754 0.754 0.209
Se6 0.932 0.615 0.797


[3]
A plane-wave DFT calculation with PBE-GGA was carried out for a geometry-optimized Y3PaIn3Se8 structure.

* space group: No. 166
* total magnetization: 1.06 μB per cell
* calculated volume: 464.07 Å³/cell
* total energy: -84.7 eV per cell

a = 9.138 Å, b = 9.138 Å, c = 9.138 Å
α = 54.01°, β = 54.01°, γ = 54.01°
Fractional coordinates of all 15 atoms:
Y1 0.000 0.500 0.500
Y2 0.500 0.000 0.500
Y3 0.500 0.500 0.000
Pa1 0.000 0.000 0.000
In1 0.000 0.000 0.500
In2 0.000 0.500 0.000
In3 0.500 0.000 0.000
Se1 0.234 0.234 0.739
Se2 0.234 0.739 0.234
Se3 0.261 0.766 0.766
Se4 0.264 0.264 0.264
Se5 0.736 0.736 0.736
Se6 0.739 0.234 0.234
Se7 0.766 0.261 0.766
Se8 0.766 0.766 0.261


[4]
A plane-wave DFT calculation with PBE-GGA was carried out for a geometry-optimized Y2PaIn3Se6 structure.

* space group: No. 12
* total magnetization: 2.08 μB per cell
* calculated volume: 348.26 Å³/cell
* total energy: -65.3 eV per cell

a = 7.149 Å, b = 7.149 Å, c = 8.219 Å
α = 98.33°, β = 98.33°, γ = 119.97°
Fractional coordinates of all 12 atoms:
Y1 0.166 0.834 0.000
Y2 0.834 0.166 0.000
Pa1 0.500 0.500 0.000
In1 0.000 0.000 0.500
In2 0.331 0.669 0.500
In3 0.669 0.331 0.500
Se1 0.100 0.431 0.791
Se2 0.239 0.239 0.210
Se3 0.431 0.100 0.791
Se4 0.569 0.900 0.209
Se5 0.761 0.761 0.790
Se6 0.900 0.569 0.209


[5]
A plane-wave DFT calculation with PBE-GGA was carried out for a geometry-optimized Zr2PaIn2Se6 structure.

* space group: No. 12
* total magnetization: 1.77 μB per cell
* calculated volume: 308.94 Å³/cell
* total energy: -64.7 eV per cell

a = 6.688 Å, b = 6.688 Å, c = 8.308 Å
α = 97.65°, β = 97.65°, γ = 120.36°
Fractional coordinates of all 11 atoms:
Zr1 0.168 0.832 0.000
Zr2 0.832 0.168 0.000
Pa1 0.500 0.500 0.000
In1 0.338 0.662 0.500
In2 0.662 0.338 0.500
Se1 0.091 0.432 0.790
Se2 0.228 0.228 0.210
Se3 0.432 0.091 0.790
Se4 0.568 0.909 0.210
Se5 0.772 0.772 0.790
Se6 0.909 0.568 0.210


[6]
A plane-wave DFT calculation with PBE-GGA was carried out for a geometry-optimized PaInSi4 structure.

* space group: No. 216
* total magnetization: 0.00 μB per cell
* calculated volume: 105.11 Å³/cell
* total energy: -34.1 eV per cell

a = 5.297 Å, b = 5.297 Å, c = 5.297 Å
α = 60.00°, β = 60.00°, γ = 60.00°
Fractional coordinates of all 6 atoms:
Pa1 0.000 0.000 0.000
In1 0.750 0.750 0.750
Si1 0.377 0.377 0.377
Si2 0.377 0.377 0.868
Si3 0.377 0.868 0.377
Si4 0.868 0.377 0.377


[7]
A plane-wave DFT calculation with PBE-GGA was carried out for a geometry-optimized Sm2PaIn structure.

* space group: No. 123
* total magnetization: 0.46 μB per cell
* calculated volume: 114.25 Å³/cell
* total energy: -22.0 eV per cell
* E_form: -0.07 eV/atom

a = 3.482 Å, b = 3.482 Å, c = 9.424 Å
α = 90.00°, β = 90.00°, γ = 90.00°
Fractional coordinates of all 4 atoms:
Sm1 0.000 0.000 0.241
Sm2 0.000 0.000 0.759
Pa1 0.500 0.500 0.500
In1 0.500 0.500 0.000


[8]
A plane-wave DFT calculation with PBE-GGA was carried out for a geometry-optimized SmPaIn4 structure.

* space group: No. 216
* total magnetization: 1.57 μB per cell
* calculated volume: 154.54 Å³/cell
* total energy: -25.8 eV per cell
* E_form: -0.11 eV/atom

a = 6.024 Å, b = 6.024 Å, c = 6.024 Å
α = 60.00°, β = 60.00°, γ = 60.00°
Fractional coordinates of all 6 atoms:
Sm1 0.000 0.000 0.000
Pa1 0.250 0.250 0.250
In1 0.126 0.625 0.625
In2 0.625 0.126 0.625
In3 0.625 0.625 0.126
In4 0.625 0.625 0.625


[9]
A plane-wave DFT calculation with PBE-GGA was carried out for a geometry-optimized Sm2PaIn structure.

* space group: No. 225
* total magnetization: 0.00 μB per cell
* calculated volume: 112.29 Å³/cell
* total energy: -21.2 eV per cell
* E_form: 0.13 eV/atom

a = 5.415 Å, b = 5.415 Å, c = 5.415 Å
α = 60.00°, β = 60.00°, γ = 60.00°
Fractional coordinates of all 4 atoms:
Sm1 0.250 0.250 0.250
Sm2 0.750 0.750 0.750
Pa1 0.000 0.000 0.000
In1 0.500 0.500 0.500


[10]
A plane-wave DFT calculation with PBE-GGA was carried out for a geometry-optimized SmPaIn2 structure.

* space group: No. 123
* total magnetization: 0.00 μB per cell
* calculated volume: 104.91 Å³/cell
* total energy: -20.5 eV per cell
* E_form: -0.21 eV/atom

a = 3.364 Å, b = 3.364 Å, c = 9.272 Å
α = 90.00°, β = 90.00°, γ = 90.00°
Fractional coordinates of all 4 atoms:
Sm1 0.000 0.000 0.000
Pa1 0.000 0.000 0.500
In1 0.500 0.500 0.253
In2 0.500 0.500 0.747


[11]
A plane-wave DFT calculation with PBE-GGA was carried out for a geometry-optimized Sm2PaIn structure.

* space group: No. 123
* total magnetization: 0.00 μB per cell
* calculated volume: 111.89 Å³/cell
* total energy: -21.8 eV per cell
* E_form: -0.03 eV/atom

a = 4.928 Å, b = 4.928 Å, c = 4.607 Å
α = 90.00°, β = 90.00°, γ = 90.00°
Fractional coordinates of all 4 atoms:
Sm1 0.000 0.500 0.000
Sm2 0.500 0.000 0.000
Pa1 0.000 0.000 0.500
In1 0.500 0.500 0.500


[12]
A plane-wave DFT calculation with PBE-GGA was carried out for a geometry-optimized SmPaIn2 structure.

* space group: No. 166
* total magnetization: 0.00 μB per cell
* calculated volume: 106.32 Å³/cell
* total energy: -20.1 eV per cell
* E_form: -0.10 eV/atom

a = 11.329 Å, b = 11.329 Å, c = 11.329 Å
α = 16.83°, β = 16.83°, γ = 16.83°
Fractional coordinates of all 4 atoms:
Sm1 0.000 0.000 0.000
Pa1 0.500 0.500 0.500
In1 0.250 0.250 0.250
In2 0.750 0.750 0.750